Computed, not measured: an optimized crystal structure of KSc2Cr at the GGA-PBE level of DFT.

a b c (Å): 7.3803 7.3803 7.3803
angles (deg): 90.00 90.00 90.00
Fractional coordinates of all 16 atoms:
K1 0.0000 0.0000 0.0000
K2 0.0000 0.5000 0.5000
K3 0.5000 0.0000 0.5000
K4 0.5000 0.5000 0.0000
Sc1 0.2500 0.2500 0.2500
Sc2 0.2500 0.2500 0.7500
Sc3 0.2500 0.7500 0.2500
Sc4 0.2500 0.7500 0.7500
Sc5 0.7500 0.2500 0.2500
Sc6 0.7500 0.2500 0.7500
Sc7 0.7500 0.7500 0.2500
Sc8 0.7500 0.7500 0.7500
Cr1 0.0000 0.0000 0.5000
Cr2 0.0000 0.5000 0.0000
Cr3 0.5000 0.0000 0.0000
Cr4 0.5000 0.5000 0.5000

Computed properties:
Its energy above the most stable polymorph in this dataset is 10.59 kcal/mol of atoms. For the volume, the calculation gives 402.0 Å³ per cell. As for the spin magnetization: 17.195 Bohr magnetons per cell. For the formation energy, the calculation gives 0.8250 eV/atom. Its space group is Fm-3m, No. 225.

Computed, not measured: an optimized crystal structure of K2ScCr at the GGA-PBE level of DFT.

a b c (Å): 4.6724 4.6724 7.0279
angles (deg): 90.00 90.00 90.00
Fractional coordinates of all 4 atoms:
K1 0.0000 0.0000 0.2344
K2 0.0000 0.0000 0.7656
Sc1 0.5000 0.5000 0.5000
Cr1 0.5000 0.5000 0.0000

Computed properties:
Its energy above the most stable polymorph in this dataset is 11.35 kcal/mol of atoms. For the volume, the calculation gives 153.4 Å³ per cell. As for the spin magnetization: 6.565 Bohr magnetons per cell. For the formation energy, the calculation gives 1.1132 eV/atom. Its space group is P4/mmm, No. 123.